Record 1
## BaSiAg3 (GGA-PBE)

Data for an optimized crystal structure of BaSiAg3.

Properties
VASP energy: -3.3885 eV/atom

Unit cell a=5.4672 b=9.2653 c=9.2652 alpha=90.00 beta=90.00 gamma=90.00
Space group Aem2 (No. 39)
Unique sites:
Ba1 0.0000 0.0000 0.0000 [4 per cell]
Si1 0.2868 0.2500 0.2492 [4 per cell]
Ag1 0.1847 0.2500 0.7495 [4 per cell]
Ag2 0.5000 0.0000 0.2507 [4 per cell]
Ag3 0.4999 0.2500 0.4993 [4 per cell]

Record 2
## NbAsIrO (GGA-PBE)

Data for an optimized crystal structure of NbAsIrO.

Properties
VASP energy: -7.8610 eV/atom
Offset from the most stable computed form: 0.040 eV/atom

Unit cell a=3.3296 b=6.5969 c=6.2454 alpha=90.00 beta=90.00 gamma=90.00
Space group Pmc2_1 (No. 26)
Unique sites:
Nb1 0.0000 0.0794 0.0000 [2 per cell]
As1 0.0000 0.3067 0.6210 [2 per cell]
Ir1 0.5000 0.2173 0.3393 [2 per cell]
O1 0.5000 0.2536 0.0131 [2 per cell]

Record 3
## LiLu2Cu (GGA-PBE)

Data for an optimized crystal structure of LiLu2Cu.

Properties
VASP energy: -3.4404 eV/atom

Unit cell a=6.8234 b=6.8234 c=6.8234 alpha=90.00 beta=90.00 gamma=90.00
Space group F-43m (No. 216)
Unique sites:
Li1 0.0000 0.0000 0.0000 [4 per cell]
Lu1 0.0000 0.0000 0.5000 [4 per cell]
Lu2 0.2500 0.2500 0.7500 [4 per cell]
Cu1 0.2500 0.2500 0.2500 [4 per cell]

Record 4
## HoB7Mo3 (GGA-PBE)

Data for an optimized crystal structure of HoB7Mo3.

Properties
VASP energy: -8.1890 eV/atom

Unit cell a=11.0309 b=3.1000 c=12.8483 alpha=90.00 beta=90.00 gamma=90.00
Space group Pnma (No. 62)
Unique sites:
Ho1 0.0517 0.2500 0.1919 [4 per cell]
B1 0.0104 0.7500 0.3620 [4 per cell]
B2 0.0374 0.7500 0.0181 [4 per cell]
B3 0.0678 0.7500 0.6160 [4 per cell]
B4 0.1656 0.7500 0.3325 [4 per cell]
B5 0.1858 0.7500 0.0668 [4 per cell]
B6 0.2309 0.7500 0.5817 [4 per cell]
B7 0.2498 0.2500 0.3262 [4 per cell]
Mo1 0.1175 0.2500 0.4728 [4 per cell]
Mo2 0.1596 0.2500 0.9355 [4 per cell]
Mo3 0.1846 0.2500 0.7021 [4 per cell]

Record 5
## MgAgSe2O6 (GGA-PBE)

Data for an optimized crystal structure of MgAgSe2O6.

Properties
VASP energy: -5.1252 eV/atom

Unit cell a=7.9874 b=5.4592 c=13.1343 alpha=90.00 beta=93.85 gamma=90.00
Space group C2/c (No. 15)
Unique sites:
Mg1 0.0000 0.0045 0.2500 [4 per cell]
Ag1 0.0000 0.0000 0.0000 [4 per cell]
Se1 0.1480 0.4959 0.6163 [8 per cell]
O1 0.0040 0.2535 0.6256 [8 per cell]
O2 0.0063 0.2587 0.1248 [8 per cell]
O3 0.2485 0.4947 0.7312 [8 per cell]

Record 6
## ZnInFeW (GGA-PBE)

Data for an optimized crystal structure of ZnInFeW.

Properties
VASP energy: -5.8651 eV/atom
Offset from the most stable computed form: 0.000 eV/atom

Unit cell a=6.2431 b=6.2431 c=6.2431 alpha=90.00 beta=90.00 gamma=90.00
Space group F-43m (No. 216)
Unique sites:
Zn1 0.0000 0.0000 0.0000 [4 per cell]
In1 0.2500 0.2500 0.2500 [4 per cell]
Fe1 0.0000 0.0000 0.5000 [4 per cell]
W1 0.2500 0.2500 0.7500 [4 per cell]

Record 7
## PmLuSc (GGA-PBE)

Data for an optimized crystal structure of PmLuSc.

Properties
VASP energy: -4.5076 eV/atom
Offset from the most stable computed form: 0.000 eV/atom
Energy of formation: 0.692 eV/atom

Unit cell a=7.4193 b=7.4193 c=7.4193 alpha=90.00 beta=90.00 gamma=90.00
Space group F-43m (No. 216)
Unique sites:
Pm1 0.0000 0.0000 0.0000 [4 per cell]
Lu1 0.0000 0.0000 0.5000 [4 per cell]
Sc1 0.2500 0.2500 0.7500 [4 per cell]

Record 8
## Gd8Te (GGA-PBE)

Data for an optimized crystal structure of Gd8Te.

Properties
VASP energy: -4.7620 eV/atom

Unit cell a=9.3022 b=9.3022 c=3.8066 alpha=90.00 beta=90.00 gamma=120.00
Space group P-62m (No. 189)
Unique sites:
Gd1 0.0000 0.2717 0.0000 [3 per cell]
Gd2 0.0000 0.6191 0.5000 [3 per cell]
Gd3 0.3333 0.6667 0.0000 [2 per cell]
Te1 0.0000 0.0000 0.5000 [1 per cell]

Record 9
## Li2TaSb (GGA-PBE)

Data for an optimized crystal structure of Li2TaSb.

Properties
VASP energy: -4.7490 eV/atom

Unit cell a=6.5661 b=6.5661 c=6.5661 alpha=90.00 beta=90.00 gamma=90.00
Space group F-43m (No. 216)
Unique sites:
Li1 0.0000 0.0000 0.0000 [4 per cell]
Li2 0.2500 0.2500 0.2500 [4 per cell]
Ta1 0.2500 0.2500 0.7500 [4 per cell]
Sb1 0.0000 0.0000 0.5000 [4 per cell]

Record 10
## YHfAl2 (GGA-PBE)

Data for an optimized crystal structure of YHfAl2.

Properties
VASP energy: -5.8194 eV/atom

Unit cell a=6.9355 b=6.9355 c=6.9355 alpha=90.00 beta=90.00 gamma=90.00
Space group F-43m (No. 216)
Unique sites:
Y1 0.0000 0.0000 0.0000 [4 per cell]
Hf1 0.2500 0.2500 0.2500 [4 per cell]
Al1 0.0000 0.0000 0.5000 [4 per cell]
Al2 0.2500 0.2500 0.7500 [4 per cell]

Record 11
## LiSnHg3O4 (GGA-PBE)

Data for an optimized crystal structure of LiSnHg3O4.

Properties
VASP energy: -3.2057 eV/atom

Unit cell a=5.5906 b=5.5906 c=5.5906 alpha=90.00 beta=90.00 gamma=90.00
Space group P-43m (No. 215)
Unique sites:
Li1 0.0000 0.0000 0.0000 [1 per cell]
Sn1 0.5000 0.5000 0.5000 [1 per cell]
Hg1 0.0000 0.5000 0.5000 [3 per cell]
O1 0.2580 0.2580 0.2580 [4 per cell]

Record 12
## DyMg2 (GGA-PBE)

Data for an optimized crystal structure of DyMg2.

Properties
VASP energy: -2.5998 eV/atom

Unit cell a=3.9867 b=15.0078 c=5.1872 alpha=90.00 beta=90.00 gamma=90.00
Space group Cmcm (No. 63)
Unique sites:
Dy1 0.0000 0.0817 0.2500 [4 per cell]
Mg1 0.0000 0.2441 0.7500 [4 per cell]
Mg2 0.0000 0.4080 0.2500 [4 per cell]